DFT (PBE) results for crystalline K2MnSbSe4 at its relaxed geometry.

The space group is Imma (No. 74) and the conventional cell measures 8.386, 8.674 and 12.007 Å, with angles of 90.00, 90.00 and 90.00 degrees. The asymmetric unit holds K at (0.000, 0.000, 0.000), K at (0.250, 0.250, 0.250), Mn at (0.250, 0.250, 0.750), Sb at (0.000, 0.000, 0.500), Se at (0.000, 0.049, 0.740) and Se at (0.230, 0.250, 0.532).

As for the final energy: -0.3179 Ry per atom. The calculation puts the uncorrected formation energy at -0.647 eV/atom.

=====

DFT (PBE) results for crystalline Tl12Sn3S5 at its relaxed geometry.

The space group is Ia-3d (No. 230) and the conventional cell measures 17.623, 17.623 and 17.623 Å, with angles of 90.00, 90.00 and 90.00 degrees. The asymmetric unit holds Tl at (0.019, 0.067, 0.655), Sn at (0.000, 0.250, 0.125), S at (0.000, 0.000, 0.000) and S at (0.000, 0.250, 0.375).

As for the final energy: -0.2289 Ry per atom. The calculation puts the uncorrected formation energy at -0.062 eV/atom.

=====

DFT (PBE) results for crystalline Cs2DyPu3O12 at its relaxed geometry.

The space group is R-3m (No. 166, hexagonal axes) and the conventional cell measures 7.9767, 7.9767 and 18.8087 Å, with angles of 90.00, 90.00 and 120.00 degrees. The asymmetric unit holds Cs at (0.0000, 0.0000, 0.1225), Dy at (0.0000, 0.0000, 0.5000), Pu at (0.0000, 0.5000, 0.0000), O at (0.0597, 0.5299, 0.1007) and O at (0.0812, 0.5406, 0.3511).

As for the final energy: -0.6339 Ry per atom. The calculation puts the uncorrected formation energy at -2.580 eV/atom.

=====

DFT (PBE) results for crystalline AlMo3Pd at its relaxed geometry.

The space group is Pm-3m (No. 221) and the conventional cell measures 4.502, 4.502 and 4.502 Å, with angles of 90.00, 90.00 and 90.00 degrees. The asymmetric unit holds Al at (0.000, 0.000, 0.000), Mo at (0.000, 0.000, 0.500) and Pd at (0.500, 0.500, 0.500).

As for the final energy: -0.4990 Ry per atom. The calculation puts the energy above the most stable polymorph in this dataset at 0 meV per atom. The formation energy comes out at 1.496 eV per atom.

=====

DFT (PBE) results for crystalline BaSn2Te3 at its relaxed geometry.

The space group is Pmc2_1 (No. 26) and the conventional cell measures 4.475, 12.012 and 8.177 Å, with angles of 90.00, 90.00 and 90.00 degrees. The asymmetric unit holds Ba at (0.000, 0.131, 0.000), Sn at (0.000, 0.186, 0.462), Sn at (0.500, 0.494, 0.494), Te at (0.000, 0.379, 0.686), Te at (0.500, 0.067, 0.680) and Te at (0.500, 0.299, 0.225).

As for the final energy: -0.2906 Ry per atom. The calculation puts the uncorrected formation energy at -0.728 eV/atom. The calculation puts the energy above the most stable polymorph in this dataset at 11 meV per atom.

=====

DFT (PBE) results for crystalline Hf4GaTe at its relaxed geometry.

The space group is C2/c (No. 15) and the conventional cell measures 8.316, 12.326 and 6.400 Å, with angles of 90.00, 124.52 and 90.00 degrees. The asymmetric unit holds Hf at (0.117, 0.195, 0.071), Hf at (0.179, 0.431, 0.248), Ga at (0.000, 0.376, 0.750) and Te at (0.000, 0.014, 0.250).

As for the final energy: -0.5720 Ry per atom. The calculation puts the uncorrected formation energy at -0.119 eV/atom.

=====

DFT (PBE) results for crystalline ZrSiAs2 at its relaxed geometry.

The space group is Immm (No. 71) and the conventional cell measures 3.520, 4.887 and 8.267 Å, with angles of 90.00, 90.00 and 90.00 degrees. The asymmetric unit holds Zr at (0.000, 0.000, 0.000), Si at (0.000, 0.000, 0.500) and As at (0.000, 0.500, 0.214).

As for the final energy: -0.4534 Ry per atom. The calculation puts the uncorrected formation energy at -0.351 eV/atom. The calculation puts the energy above the most stable polymorph in this dataset at 282 meV per atom.

=====

DFT (PBE) results for crystalline LiAu2Se at its relaxed geometry.

The space group is R-3m (No. 166, hexagonal axes) and the conventional cell measures 2.8755, 2.8755 and 30.5834 Å, with angles of 90.00, 90.00 and 120.00 degrees. The asymmetric unit holds Li at (0.0000, 0.0000, 0.0000), Au at (0.0000, 0.0000, 0.2646) and Se at (0.0000, 0.0000, 0.5000).

As for the final energy: -0.2259 Ry per atom. The calculation puts the uncorrected formation energy at -0.086 eV/atom. The calculation puts the energy above the most stable polymorph in this dataset at 229 meV per atom.

=====

DFT (PBE) results for crystalline Sr2GeCl at its relaxed geometry.

The space group is C2/m (No. 12) and the conventional cell measures 12.980, 6.314 and 6.342 Å, with angles of 90.00, 107.43 and 90.00 degrees. The asymmetric unit holds Sr at (0.128, 0.000, 0.434), Sr at (0.141, 0.500, 0.913), Ge at (0.095, 0.000, 0.930) and Cl at (0.132, 0.500, 0.417).

As for the final energy: -0.2703 Ry per atom. The calculation puts the uncorrected formation energy at -1.220 eV/atom. The calculation puts the energy above the most stable polymorph in this dataset at 0 meV per atom.

=====

DFT (PBE) results for crystalline Ti2AlSe4 at its relaxed geometry.

The space group is C2/m (No. 12) and the conventional cell measures 13.570, 3.559 and 6.467 Å, with angles of 90.00, 118.04 and 90.00 degrees. The asymmetric unit holds Ti at (0.246, 0.000, 0.190), Al at (0.000, 0.500, 0.500), Se at (0.106, 0.500, 0.947) and Se at (0.134, 0.000, 0.471).

As for the final energy: -0.4239 Ry per atom. The calculation puts the uncorrected formation energy at -0.986 eV/atom. The calculation puts the energy above the most stable polymorph in this dataset at 0 meV per atom.

=====

DFT (PBE) results for crystalline Cu2ReAg at its relaxed geometry.

The space group is Pmm2 (No. 25) and the conventional cell measures 2.598, 4.046 and 5.450 Å, with angles of 90.00, 90.00 and 90.00 degrees. The asymmetric unit holds Cu at (0.000, 0.000, 0.000), Cu at (0.500, 0.500, 0.262), Re at (0.000, 0.000, 0.473) and Ag at (0.500, 0.500, 0.763).

As for the final energy: -0.3958 Ry per atom. The calculation puts the energy above the most stable polymorph in this dataset at 225 meV per atom. The formation energy comes out at 0.488 eV per atom.

=====

DFT (PBE) results for crystalline SrGaOF2 at its relaxed geometry.

The space group is P4/mmm (No. 123) and the conventional cell measures 4.315, 4.315 and 4.073 Å, with angles of 90.00, 90.00 and 90.00 degrees. The asymmetric unit holds Sr at (0.000, 0.000, 0.000), Ga at (0.500, 0.500, 0.500), O at (0.500, 0.500, 0.000) and F at (0.000, 0.500, 0.500).

As for the final energy: -0.3727 Ry per atom. The calculation puts the uncorrected formation energy at -2.389 eV/atom. The calculation puts the energy above the most stable polymorph in this dataset at 0 meV per atom.

=====

DFT (PBE) results for crystalline Cs2RuRh at its relaxed geometry.

The space group is I4_1/amd (No. 141, origin choice 2) and the conventional cell measures 13.159, 13.159 and 4.649 Å, with angles of 90.00, 90.00 and 90.00 degrees. The asymmetric unit holds Cs at (0.000, 0.000, 0.000), Ru at (0.000, 0.250, 0.875) and Rh at (0.000, 0.250, 0.375).

As for the final energy: -0.2660 Ry per atom. The formation energy comes out at 0.964 eV per atom.

=====

DFT (PBE) results for crystalline RbSeBr3 at its relaxed geometry.

The space group is P2_1/c (No. 14) and the conventional cell measures 10.012, 9.028 and 9.936 Å, with angles of 90.00, 119.71 and 90.00 degrees. The asymmetric unit holds Rb at (0.151, 0.250, 0.075), Se at (0.308, 0.657, 0.404), Br at (0.033, 0.521, 0.267), Br at (0.265, 0.749, 0.633) and Br at (0.431, 0.219, 0.465).

As for the final energy: -0.1934 Ry per atom. The calculation puts the uncorrected formation energy at -0.737 eV/atom.

=====

DFT (PBE) results for crystalline Cd13Ga2 at its relaxed geometry.

The space group is P-1 (No. 2) and the conventional cell measures 5.572, 7.322 and 8.584 Å, with angles of 73.57, 83.38 and 88.41 degrees. The asymmetric unit holds Cd at (0.000, 0.000, 0.000), Cd at (0.129, 0.264, 0.204), Cd at (0.198, 0.396, 0.794), Cd at (0.261, 0.535, 0.403), Cd at (0.332, 0.665, 0.000), Cd at (0.403, 0.803, 0.599), Cd at (0.464, 0.932, 0.203) and Ga at (0.062, 0.129, 0.591).

As for the final energy: -0.0863 Ry per atom. The calculation puts the energy above the most stable polymorph in this dataset at 0 meV per atom. The formation energy comes out at 0.023 eV per atom.

=====

DFT (PBE) results for crystalline Ba3TlSb3 at its relaxed geometry.

The space group is Cmce (No. 64) and the conventional cell measures 21.926, 7.409 and 14.462 Å, with angles of 90.00, 90.00 and 90.00 degrees. The asymmetric unit holds Ba at (0.000, 0.194, 0.143), Ba at (0.176, 0.200, 0.872), Tl at (0.088, 0.000, 0.500), Sb at (0.000, 0.217, 0.389) and Sb at (0.163, 0.222, 0.627).

As for the final energy: -0.2746 Ry per atom. The calculation puts the uncorrected formation energy at -0.807 eV/atom.

=====

DFT (PBE) results for crystalline Er3Ga4 at its relaxed geometry.

The space group is Immm (No. 71) and the conventional cell measures 4.104, 4.203 and 18.099 Å, with angles of 90.00, 90.00 and 90.00 degrees. The asymmetric unit holds Er at (0.000, 0.000, 0.000), Er at (0.000, 0.500, 0.315), Ga at (0.000, 0.000, 0.433) and Ga at (0.000, 0.500, 0.147).

As for the final energy: -0.3161 Ry per atom. The calculation puts the energy above the most stable polymorph in this dataset at 0 meV per atom. The formation energy comes out at -0.616 eV per atom.

=====

DFT (PBE) results for crystalline CuHgI2 at its relaxed geometry.

The space group is Fm-3m (No. 225) and the conventional cell measures 7.681, 7.681 and 7.681 Å, with angles of 90.00, 90.00 and 90.00 degrees. The asymmetric unit holds Cu at (0.000, 0.000, 0.000), Hg at (0.000, 0.000, 0.500) and I at (0.250, 0.250, 0.250).

As for the final energy: -0.1092 Ry per atom. The calculation puts the uncorrected formation energy at 0.388 eV/atom. The calculation puts the energy above the most stable polymorph in this dataset at 564 meV per atom.

=====

DFT (PBE) results for crystalline BeZnIn2 at its relaxed geometry.

The space group is Cmmm (No. 65) and the conventional cell measures 4.279, 4.362 and 8.192 Å, with angles of 90.00, 90.00 and 90.00 degrees. The asymmetric unit holds Be at (0.000, 0.000, 0.000), Zn at (0.000, 0.000, 0.500) and In at (0.000, 0.500, 0.227).

As for the final energy: -0.1650 Ry per atom. The formation energy comes out at 0.374 eV per atom.